Here is crystalline LiBe2Rh at its relaxed geometry from Alexandria. Energies are from PBE. Values from VASP.

Cell and atoms, written as Quantum ESPRESSO input:
```
&SYSTEM
  ibrav = 0, nat = 12, ntyp = 3
/
ATOMIC_SPECIES
Li 6.94 Li.upf
Be 9.01 Be.upf
Rh 102.91 Rh.upf
CELL_PARAMETERS angstrom
2.7008 0.0000 0.0000
-1.3504 2.3390 0.0000
0.0000 0.0000 23.4118
ATOMIC_POSITIONS crystal
Li 0.0000 0.0000 0.0000
Li 0.3333 0.6667 0.6667
Li 0.6667 0.3333 0.3333
Be 0.0000 0.0000 0.2408
Be 0.0000 0.0000 0.7592
Be 0.3333 0.6667 0.4258
Be 0.3333 0.6667 0.9075
Be 0.6667 0.3333 0.0925
Be 0.6667 0.3333 0.5742
Rh 0.0000 0.0000 0.5000
Rh 0.3333 0.6667 0.1667
Rh 0.6667 0.3333 0.8333
```

Calculated values
- Energy relative to the elements: -0.7 kJ per mole of atoms
- N(E_F): 10.42 states/eV/cell
- Space group: R-3m (166)